VASP calculation (GGA-PBE) on Ta3V after structural relaxation. Values from VASP.

## Properties
E_form: 36 meV/atom
SG: Immm, No. 71
distance to the lowest polymorph of the same formula: 0 meV per atom

```
&SYSTEM
  ibrav = 0, nat = 4, ntyp = 2
/
ATOMIC_SPECIES
Ta 180.95 Ta.upf
V 50.94 V.upf
CELL_PARAMETERS angstrom
-1.628 2.309 4.568
1.628 -2.309 4.568
1.628 2.309 -4.568
ATOMIC_POSITIONS angstrom
Ta 0.000 0.000 0.000
Ta 1.628 0.000 2.367
Ta 0.000 2.309 2.201
V 0.000 0.000 4.568
```